Entry 1:
A relaxed structure of Zn2W. Source: the Alexandria database, functional GGA-PBE.

E_form: 0.207 eV per atom

abc: 5.624 3.559 9.021
angles: 90.00 90.00 90.00
Space group Pnma (No. 62)
Symmetry-distinct sites (fractional):
Zn (0.104, 0.250, 0.082) x4
Zn (0.155, 0.250, 0.743) x4
W (0.101, 0.250, 0.416) x4


Entry 2:
A relaxed structure of Ho2ErIn. Source: the Alexandria database, functional GGA-PBE.

E_form: -0.229 eV per atom

abc: 3.553 3.553 9.174
angles: 90.00 90.00 90.00
Space group P4/mmm (No. 123)
Symmetry-distinct sites (fractional):
Ho (0.000, 0.000, 0.229) x2
Er (0.500, 0.500, 0.500) x1
In (0.500, 0.500, 0.000) x1


Entry 3:
A relaxed structure of MgTl3Hg2F9. Source: the Alexandria database, functional GGA-PBE.

formation energy without anion corrections: -1.991 eV/atom

abc: 6.2883 6.2883 7.6366
angles: 90.00 90.00 120.00
Space group P-3m1 (No. 164)
Symmetry-distinct sites (fractional):
Mg (0.0000, 0.0000, 0.0000) x1
Tl (0.0000, 0.0000, 0.5000) x1
Tl (0.3333, 0.6667, 0.1845) x2
Hg (0.3333, 0.6667, 0.6918) x2
F (0.0000, 0.5000, 0.5000) x3
F (0.1512, 0.3025, 0.8467) x6


no.,E (eV per atom)
1,-4.960
2,-4.343
3,-3.734